Record 1
Entry from Alexandria via LeMat-Bulk: an optimized crystal structure of Ba3NdTm3Te8 (PBE).

Calculated values
- total energy (eV/cell) = -71.71
- space-group type = R-3m
- formation energy from raw total energies (meV/atom) = -1508

Unit cell a=9.479 b=9.479 c=9.479 alpha=56.50 beta=56.50 gamma=56.50
Fractional positions:
Ba (0.000, 0.500, 0.500)
Ba (0.500, 0.000, 0.500)
Ba (0.500, 0.500, 0.000)
Nd (0.500, 0.500, 0.500)
Tm (0.000, 0.000, 0.500)
Tm (0.000, 0.500, 0.000)
Tm (0.500, 0.000, 0.000)
Te (0.224, 0.747, 0.747)
Te (0.237, 0.237, 0.237)
Te (0.253, 0.253, 0.776)
Te (0.253, 0.776, 0.253)
Te (0.747, 0.224, 0.747)
Te (0.747, 0.747, 0.224)
Te (0.763, 0.763, 0.763)
Te (0.776, 0.253, 0.253)

Record 2
Entry from Alexandria via LeMat-Bulk: an optimized crystal structure of Ho2TiAl2Rh5 (PBE).

Calculated values
- total energy (eV/cell) = -140.27
- space-group type = P4/mbm
- ΔH_f (0 K) (eV/atom) = -0.884

Unit cell a=9.952 b=9.952 c=3.384 alpha=90.00 beta=90.00 gamma=90.00
Fractional positions:
Ho (0.173, 0.327, 0.000)
Ho (0.327, 0.827, 0.000)
Ho (0.673, 0.173, 0.000)
Ho (0.827, 0.673, 0.000)
Ti (0.000, 0.000, 0.000)
Ti (0.500, 0.500, 0.000)
Al (0.126, 0.626, 0.000)
Al (0.374, 0.126, 0.000)
Al (0.626, 0.874, 0.000)
Al (0.874, 0.374, 0.000)
Rh (0.000, 0.500, 0.500)
Rh (0.066, 0.798, 0.500)
Rh (0.202, 0.066, 0.500)
Rh (0.298, 0.566, 0.500)
Rh (0.434, 0.298, 0.500)
Rh (0.500, 0.000, 0.500)
Rh (0.566, 0.702, 0.500)
Rh (0.702, 0.434, 0.500)
Rh (0.798, 0.934, 0.500)
Rh (0.934, 0.202, 0.500)

Record 3
Entry from Alexandria via LeMat-Bulk: an optimized crystal structure of Rb3Pu3PbSe8 (PBE).

Calculated values
- total energy (eV/cell) = -96.23
- space-group type = R-3m
- formation energy from raw total energies (meV/atom) = -1250

Unit cell a=9.371 b=9.371 c=9.371 alpha=54.43 beta=54.43 gamma=54.43
Fractional positions:
Rb (0.000, 0.500, 0.500)
Rb (0.500, 0.000, 0.500)
Rb (0.500, 0.500, 0.000)
Pu (0.000, 0.000, 0.500)
Pu (0.000, 0.500, 0.000)
Pu (0.500, 0.000, 0.000)
Pb (0.500, 0.500, 0.500)
Se (0.208, 0.743, 0.743)
Se (0.231, 0.231, 0.231)
Se (0.257, 0.257, 0.792)
Se (0.257, 0.792, 0.257)
Se (0.743, 0.208, 0.743)
Se (0.743, 0.743, 0.208)
Se (0.769, 0.769, 0.769)
Se (0.792, 0.257, 0.257)

Record 4
Entry from Alexandria via LeMat-Bulk: an optimized crystal structure of CrNi2Ru (PBE).

Calculated values
- total energy (eV/cell) = -30.28
- space-group type = Pmm2
- ΔH_f (0 K) (eV/atom) = 0.046

Unit cell a=2.585 b=4.092 c=4.472 alpha=90.00 beta=90.00 gamma=90.00
Fractional positions:
Cr (0.000, 0.000, 0.000)
Ni (0.500, 0.000, 0.511)
Ni (0.500, 0.500, 0.816)
Ru (0.000, 0.500, 0.316)

Record 5
Entry from Alexandria via LeMat-Bulk: an optimized crystal structure of PmYTl4 (PBE).

Calculated values
- total energy (eV/cell) = -20.79
- space-group type = C2/m
- ΔH_f (0 K) (eV/atom) = -0.018

Unit cell a=5.060 b=5.060 c=7.697 alpha=90.06 beta=90.06 gamma=89.99
Fractional positions:
Pm (0.000, 0.000, 0.000)
Y (0.500, 0.500, 0.500)
Tl (0.000, 0.500, 0.258)
Tl (0.000, 0.500, 0.742)
Tl (0.500, 0.000, 0.258)
Tl (0.500, 0.000, 0.742)

Record 6
Entry from Alexandria via LeMat-Bulk: an optimized crystal structure of Sm5Dy2Y5 (PBE).

Calculated values
- total energy (eV/cell) = -64.91
- space-group type = C2/m
- ΔH_f (0 K) (eV/atom) = 0.017

Unit cell a=8.022 b=8.022 c=11.347 alpha=115.12 beta=115.12 gamma=36.93
Fractional positions:
Sm (0.000, 0.000, 0.000)
Sm (0.083, 0.083, 0.750)
Sm (0.167, 0.167, 0.500)
Sm (0.833, 0.833, 0.500)
Sm (0.917, 0.917, 0.250)
Dy (0.417, 0.417, 0.750)
Dy (0.583, 0.583, 0.250)
Y (0.249, 0.249, 0.249)
Y (0.333, 0.333, 0.999)
Y (0.500, 0.500, 0.500)
Y (0.667, 0.667, 0.001)
Y (0.751, 0.751, 0.751)

Record 7
Entry from Alexandria via LeMat-Bulk: an optimized crystal structure of Ca3FeP (PBE).

Calculated values
- total energy (eV/cell) = -19.69
- space-group type = Pm-3m
- ΔH_f (0 K) (eV/atom) = 0.038

Unit cell a=5.448 b=5.448 c=5.448 alpha=90.00 beta=90.00 gamma=90.00
Fractional positions:
Ca (0.000, 0.000, 0.500)
Ca (0.000, 0.500, 0.000)
Ca (0.500, 0.000, 0.000)
Fe (0.500, 0.500, 0.500)
P (0.000, 0.000, 0.000)

Record 8
Entry from Alexandria via LeMat-Bulk: an optimized crystal structure of Rb2BaP2 (PBE).

Calculated values
- total energy (eV/cell) = -33.09
- space-group type = P4/mbm
- ΔH_f (0 K) (eV/atom) = -0.373

Unit cell a=7.976 b=7.976 c=5.680 alpha=90.00 beta=90.00 gamma=90.00
Fractional positions:
Rb (0.162, 0.338, 0.000)
Rb (0.338, 0.838, 0.000)
Rb (0.662, 0.162, 0.000)
Rb (0.838, 0.662, 0.000)
Ba (0.000, 0.000, 0.500)
Ba (0.500, 0.500, 0.500)
P (0.098, 0.598, 0.500)
P (0.402, 0.098, 0.500)
P (0.598, 0.902, 0.500)
P (0.902, 0.402, 0.500)

Record 9
Entry from Alexandria via LeMat-Bulk: an optimized crystal structure of BaLuPt2 (PBE).

Calculated values
- total energy (eV/cell) = -22.47
- space-group type = P4/mmm
- ΔH_f (0 K) (eV/atom) = -0.987

Unit cell a=3.555 b=3.555 c=7.609 alpha=90.00 beta=90.00 gamma=90.00
Fractional positions:
Ba (0.000, 0.000, 0.000)
Lu (0.000, 0.000, 0.500)
Pt (0.500, 0.500, 0.304)
Pt (0.500, 0.500, 0.696)

Record 10
Entry from Alexandria via LeMat-Bulk: an optimized crystal structure of Mg2NbPb (PBE).

Calculated values
- total energy (eV/cell) = -29.69
- space-group type = I-42d
- ΔH_f (0 K) (eV/atom) = 0.531

Unit cell a=6.352 b=6.352 c=6.352 alpha=102.02 beta=102.02 gamma=125.70
Fractional positions:
Mg (0.124, 0.625, 0.999)
Mg (0.375, 0.374, 0.499)
Mg (0.626, 0.125, 0.001)
Mg (0.875, 0.876, 0.501)
Nb (0.000, 0.000, 0.000)
Nb (0.750, 0.250, 0.500)
Pb (0.250, 0.750, 0.500)
Pb (0.500, 0.500, 0.000)

Record 11
Entry from Alexandria via LeMat-Bulk: an optimized crystal structure of LiCe2As (PBE).

Calculated values
- total energy (eV/cell) = -19.55
- space-group type = R-3m
- ΔH_f (0 K) (eV/atom) = -0.280

Unit cell a=10.846 b=10.846 c=10.846 alpha=20.21 beta=20.21 gamma=20.21
Fractional positions:
Li (0.000, 0.000, 0.000)
Ce (0.109, 0.109, 0.109)
Ce (0.891, 0.891, 0.891)
As (0.500, 0.500, 0.500)

Record 12
Entry from Alexandria via LeMat-Bulk: an optimized crystal structure of CaCd2Br (PBE).

Calculated values
- total energy (eV/cell) = -6.93
- space-group type = R-3m
- formation energy from raw total energies (meV/atom) = -355

Unit cell a=9.306 b=9.306 c=9.306 alpha=24.26 beta=24.26 gamma=24.26
Fractional positions:
Ca (0.000, 0.000, 0.000)
Cd (0.246, 0.246, 0.246)
Cd (0.754, 0.754, 0.754)
Br (0.500, 0.500, 0.500)